Record 1
PIrNF2 | Alexandria via LeMat-Bulk | PBE-GGA | optimized geometry; E_form (uncorrected) = 0.58 eV/atom; energy above the lowest structure with this stoichiometry = 4.79 kcal/mol of atoms; crystal system = tetragonal
1.0
4.540 0.000 0.000
0.000 4.540 0.000
0.000 0.000 3.185
P Ir N F
1 1 1 2
Cartesian
0.000 0.000 0.000
2.270 2.270 1.592
0.000 0.000 1.592
0.000 2.270 0.000
2.270 0.000 0.000


Record 2
Na4Er3ZrSe8 | Alexandria via LeMat-Bulk | PBE-GGA | optimized geometry; E_form (uncorrected) = -1.58 eV/atom; crystal system = trigonal
1.0
4.051 2.339 7.025
-4.051 2.339 7.025
0.000 -4.677 7.025
Na Er Zr Se
4 3 1 8
Cartesian
0.000 0.000 0.000
-2.025 -1.169 7.025
-2.025 1.169 14.051
0.000 2.339 7.025
-4.051 0.000 10.538
-2.025 1.169 3.513
2.025 1.169 3.513
0.000 0.000 10.538
0.000 0.000 5.130
-1.975 -1.140 12.131
0.000 -2.280 8.945
-1.975 1.140 8.945
1.975 -1.140 12.131
0.000 2.280 12.131
1.975 1.140 8.945
0.000 0.000 15.946


Record 3
Mn2AgPb | Alexandria via LeMat-Bulk | PBE-GGA | optimized geometry; formation energy = 0.397 eV/atom; crystal system = monoclinic
1.0
3.171 0.000 0.000
0.000 3.180 0.000
-0.013 0.000 7.562
Mn Ag Pb
2 1 1
Cartesian
0.000 0.000 0.000
1.569 1.590 6.056
1.588 1.590 1.634
3.158 0.000 4.001


Record 4
TbMgRhPb | Alexandria via LeMat-Bulk | PBE-GGA | optimized geometry; formation energy = -0.368 eV/atom; crystal system = cubic
1.0
0.000 3.518 3.518
3.518 0.000 3.518
3.518 3.518 0.000
Tb Mg Rh Pb
1 1 1 1
Cartesian
0.000 0.000 0.000
3.518 3.518 3.518
5.277 5.277 5.277
1.759 1.759 1.759